1.
# AlTlPb

An optimized crystal structure of AlTlPb (GGA-PBE, the Alexandria database).

```
6
Lattice="3.530 0.000 0.000 0.000 3.530 0.000 0.000 0.000 13.059" Properties=species:S:1:pos:R:3 pbc="T T T"
Al 0.000 0.000 0.000
Al 1.765 1.765 6.529
Tl 0.000 0.000 8.476
Tl 1.765 1.765 1.947
Pb 0.000 0.000 4.598
Pb 1.765 1.765 11.127
```

Computed properties:
**Calculated formation energy**: 179 meV per atom
**Space-group type**: I4mm
**E above lowest polymorph**: 71 meV/atom

2.
# Al2TlPb2

An optimized crystal structure of Al2TlPb2 (GGA-PBE, the Alexandria database).

```
10
Lattice="4.943 0.000 0.000 0.000 4.943 0.000 0.000 0.000 11.761" Properties=species:S:1:pos:R:3 pbc="T T T"
Al 0.000 0.000 1.276
Al 0.000 0.000 10.485
Al 2.471 2.471 4.605
Al 2.471 2.471 7.156
Tl 0.000 0.000 5.880
Tl 2.471 2.471 0.000
Pb 0.000 2.471 2.940
Pb 0.000 2.471 8.821
Pb 2.471 0.000 2.940
Pb 2.471 0.000 8.821
```

Computed properties:
**Calculated formation energy**: 209 meV per atom
**Space-group type**: I4/mmm
**E above lowest polymorph**: 66 meV/atom

3.
# Al2TlPb2

An optimized crystal structure of Al2TlPb2 (GGA-PBE, the Alexandria database).

```
10
Lattice="8.906 0.000 0.000 0.000 8.906 0.000 0.000 0.000 3.420" Properties=species:S:1:pos:R:3 pbc="T T T"
Al 1.259 3.194 0.000
Al 3.194 7.647 0.000
Al 5.711 1.259 0.000
Al 7.647 5.711 0.000
Tl 0.000 0.000 1.710
Tl 4.453 4.453 1.710
Pb 1.349 5.802 1.710
Pb 3.104 1.349 1.710
Pb 5.802 7.557 1.710
Pb 7.557 3.104 1.710
```

Computed properties:
**Calculated formation energy**: 264 meV per atom
**Space-group type**: P4/mbm
**E above lowest polymorph**: 121 meV/atom

4.
# TmAlPb2

An optimized crystal structure of TmAlPb2 (GGA-PBE, the Alexandria database).

```
12
Lattice="3.513 0.000 0.000 -1.757 3.043 0.000 0.000 0.000 32.405" Properties=species:S:1:pos:R:3 pbc="T T T"
Tm 0.000 0.000 0.000
Tm 0.000 2.028 21.603
Tm 1.757 1.014 10.802
Al 0.000 0.000 16.203
Al 0.000 2.028 5.401
Al 1.757 1.014 27.004
Pb 0.000 0.000 3.128
Pb 0.000 0.000 29.277
Pb 0.000 2.028 18.476
Pb 0.000 2.028 24.731
Pb 1.757 1.014 7.674
Pb 1.757 1.014 13.930
```

Computed properties:
**Calculated formation energy**: 205 meV per atom
**Space-group type**: R-3m
**E above lowest polymorph**: 368 meV/atom

5.
# Tm12Al6Pb

An optimized crystal structure of Tm12Al6Pb (GGA-PBE, the Alexandria database).

```
19
Lattice="-5.011 5.011 5.011 5.011 -5.011 5.011 5.011 5.011 -5.011" Properties=species:S:1:pos:R:3 pbc="T T T"
Tm 5.011 3.125 -2.129
Tm 2.882 0.000 1.885
Tm 7.140 0.000 1.885
Tm 1.885 2.882 0.000
Tm 3.125 -2.129 5.011
Tm 0.000 1.885 2.882
Tm 5.011 3.125 2.129
Tm 1.885 7.140 0.000
Tm 3.125 2.129 5.011
Tm -2.129 5.011 3.125
Tm 2.129 5.011 3.125
Tm 0.000 1.885 7.140
Al 5.011 1.249 0.000
Al 5.011 0.000 3.762
Al 3.762 5.011 0.000
Al 1.249 0.000 5.011
Al 0.000 5.011 1.249
Al 0.000 3.762 5.011
Pb 0.000 0.000 0.000
```

Computed properties:
**Calculated formation energy**: -187 meV per atom
**Space-group type**: Im-3

6.
# Tm3AlPb2

An optimized crystal structure of Tm3AlPb2 (GGA-PBE, the Alexandria database).

```
24
Lattice="12.340 0.000 0.000 0.000 4.424 0.000 0.000 0.000 11.838" Properties=species:S:1:pos:R:3 pbc="T T T"
Tm 0.723 1.106 1.402
Tm 1.548 3.318 6.543
Tm 2.931 1.106 9.241
Tm 3.239 3.318 3.322
Tm 4.622 1.106 0.624
Tm 5.446 3.318 7.322
Tm 6.893 1.106 4.517
Tm 7.718 3.318 11.214
Tm 9.101 1.106 8.516
Tm 9.408 3.318 2.597
Tm 10.792 1.106 5.295
Tm 11.616 3.318 10.436
Al 1.502 1.106 4.385
Al 4.668 3.318 10.304
Al 7.672 1.106 1.534
Al 10.838 3.318 7.453
Pb 0.058 1.106 8.292
Pb 2.272 3.318 11.748
Pb 3.898 1.106 5.829
Pb 6.111 3.318 2.372
Pb 6.228 1.106 9.466
Pb 8.442 3.318 6.009
Pb 10.068 1.106 0.090
Pb 12.281 3.318 3.547
```

Computed properties:
**Calculated formation energy**: -353 meV per atom
**Space-group type**: Pnma

> What is the calculated formation energy in the fifth record?

-187 meV per atom